DFT (PBE-GGA) results for ScIn2Hg after structural relaxation.

Cell and atoms, written as POSCAR:
```
ScIn2Hg
1.0
-1.196 3.085 3.427
-2.875 0.413 -1.376
-2.310 -4.690 3.416
Hg In Sc
1 2 1
Direct
0.500 0.750 0.750
0.000 0.750 0.016
0.000 0.750 0.484
0.500 0.250 0.250
```

energy of formation = -0.168 eV/atom
space-group type = Pmmm (47)
electronic total energy = -12.78 eV per formula unit
DOS at the Fermi energy = 2.9 states/eV per cell
V = 23.90 A^3/atom
spin magnetization = 0.00 μB per formula unit